No. 1
The following is a DFT calculation (GGA-PBE) of a relaxed structure of SbPd6Pt12.

Properties
DOS(E_F): 22.82 states/eV/f.u.
final energy: -0.20799 hartree per atom
space group: P-1, No. 2

abc: 9.0295 7.2240 8.1093
angles: 78.48 130.17 125.18
Last column: nearest neighbours and their distance in Å.
Fractional positions:
Pt1 0.1519 0.4056 0.4829  4 Pd 2.69-2.91, 7 Pt 2.70-2.86
Pt2 0.5791 0.6871 0.9062  1 Sb 2.68, 8 Pt 2.73-2.89, 2 Pd 2.76-2.80
Pt3 0.8481 0.5944 0.5171  4 Pd 2.69-2.91, 7 Pt 2.70-2.86
Pt4 0.4209 0.3129 0.0938  1 Sb 2.68, 8 Pt 2.73-2.89, 2 Pd 2.76-2.80
Sb1 0.0000 0.0000 0.0000  4 Pd 2.65-2.66, 4 Pt 2.68-2.96
Pd1 0.7198 0.1189 0.0464  3 Pd 2.69-2.84, 7 Pt 2.71-2.89
Pt5 0.5684 0.7440 0.2371  5 Pd 2.71-2.89, 6 Pt 2.73-2.86
Pd2 0.2802 0.8811 0.9536  3 Pd 2.69-2.84, 7 Pt 2.71-2.89
Pt6 0.5362 0.8132 0.5346  6 Pt 2.68-3.00, 2 Pd 2.83-2.86, 1 Sb 2.96
Pt7 0.4638 0.1868 0.4654  6 Pt 2.68-3.00, 2 Pd 2.83-2.86, 1 Sb 2.96
Pd3 0.1450 0.4183 0.1447  1 Sb 2.66, 4 Pt 2.67-2.86, 2 Pd 2.69-2.88
Pt8 0.4316 0.2560 0.7629  5 Pd 2.71-2.89, 6 Pt 2.73-2.86
Pt9 0.2955 0.8312 0.6210  8 Pt 2.68-2.87, 3 Pd 2.74-2.89
Pt10 0.8642 0.5415 0.1955  3 Pd 2.67-2.78, 7 Pt 2.71-2.87
Pd4 0.8550 0.5817 0.8553  1 Sb 2.66, 4 Pt 2.67-2.86, 2 Pd 2.69-2.88
Pd5 0.0145 0.9810 0.3393  1 Sb 2.65, 8 Pt 2.71-2.91, 2 Pd 2.77-2.86
Pt11 0.7045 0.1688 0.3790  8 Pt 2.68-2.87, 3 Pd 2.74-2.89
Pt12 0.1358 0.4585 0.8045  3 Pd 2.67-2.78, 7 Pt 2.71-2.87
Pd6 0.9855 0.0190 0.6607  1 Sb 2.65, 8 Pt 2.71-2.91, 2 Pd 2.77-2.86

---

No. 2
The following is a DFT calculation (GGA-PBE) of a relaxed structure of SbPd3Pt3.

Properties
DOS(E_F): 4.77 states/eV/f.u.
final energy: -0.19856 hartree per atom
space group: R-3, No. 148

abc: 6.9899 6.9899 6.9899
angles: 63.66 63.67 63.67
Last column: nearest neighbours and their distance in Å.
Fractional positions:
Pd1 0.1103 0.3396 0.6700  2 Sb 2.66-2.87, 4 Pt 2.70-2.88, 3 Pd 2.84-2.92
Pt1 0.4897 0.1155 0.7895  1 Sb 2.59, 3 Pt 2.69-2.75, 4 Pd 2.70-2.88
Pt2 0.1155 0.7895 0.4897  1 Sb 2.59, 3 Pt 2.69-2.75, 4 Pd 2.70-2.88
Pd2 0.3300 0.8897 0.6604  2 Sb 2.66-2.87, 4 Pt 2.70-2.88, 3 Pd 2.84-2.92
Pt3 0.7895 0.4897 0.1155  1 Sb 2.59, 3 Pt 2.69-2.75, 4 Pd 2.70-2.88
Pd3 0.8897 0.6604 0.3300  2 Sb 2.66-2.87, 4 Pt 2.70-2.88, 3 Pd 2.84-2.92
Pt4 0.8845 0.2105 0.5103  1 Sb 2.59, 3 Pt 2.69-2.75, 4 Pd 2.70-2.88
Pd4 0.6604 0.3300 0.8897  2 Sb 2.66-2.87, 4 Pt 2.70-2.88, 3 Pd 2.84-2.92
Pd5 0.6700 0.1103 0.3396  2 Sb 2.66-2.87, 4 Pt 2.70-2.88, 3 Pd 2.84-2.92
Pd6 0.3396 0.6700 0.1103  2 Sb 2.66-2.87, 4 Pt 2.70-2.88, 3 Pd 2.84-2.92
Pt5 0.5103 0.8845 0.2105  1 Sb 2.59, 3 Pt 2.69-2.75, 4 Pd 2.70-2.88
Sb1 0.7270 0.7270 0.7270  3 Pt 2.59, 6 Pd 2.66-2.87
Sb2 0.2730 0.2730 0.2730  3 Pt 2.59, 6 Pd 2.66-2.87
Pt6 0.2105 0.5103 0.8845  1 Sb 2.59, 3 Pt 2.69-2.75, 4 Pd 2.70-2.88

---

No. 3
The following is a DFT calculation (GGA-PBE) of a relaxed structure of SbPd3Pt6.

Properties
DOS(E_F): 14.25 states/eV/f.u.
final energy: -0.20585 hartree per atom
space group: P2_1/m, No. 11

abc: 2.8428 10.0653 11.5910
angles: 94.20 90.00 90.00
Last column: nearest neighbours and their distance in Å.
Fractional positions:
Pt1 0.2500 0.2835 0.7360  2 Sb 2.69, 3 Pd 2.73-2.83, 5 Pt 2.77-2.85
Pt2 0.7500 0.5195 0.6891  4 Pd 2.72-2.78, 7 Pt 2.73-2.85
Pt3 0.7500 0.7896 0.0379  5 Pd 2.71-2.82, 5 Pt 2.75-2.84
Sb1 0.7500 0.0560 0.7158  4 Pt 2.66-2.69, 2 Pd 2.75, 2 Sb 2.84
Pd1 0.7500 0.0516 0.1110  4 Pt 2.71-2.88, 2 Sb 2.75, 2 Pd 2.84
Sb2 0.2500 0.9440 0.2842  4 Pt 2.66-2.69, 2 Pd 2.75, 2 Sb 2.84
Pt4 0.7500 0.1214 0.4978  1 Sb 2.66, 6 Pt 2.80-2.84, 2 Pd 2.89
Pt5 0.7500 0.3382 0.1404  8 Pt 2.75-2.84, 4 Pd 2.80-2.88
Pt6 0.2500 0.2096 0.3099  1 Sb 2.67, 7 Pt 2.73-2.84, 1 Pd 2.82
Pt7 0.2500 0.6618 0.8596  8 Pt 2.75-2.84, 4 Pd 2.80-2.88
Pd2 0.2500 0.9484 0.8890  4 Pt 2.71-2.88, 2 Sb 2.75, 2 Pd 2.84
Pd3 0.2500 0.3718 0.5188  7 Pt 2.72-2.89, 4 Pd 2.84-3.01
Pd4 0.7500 0.6282 0.4812  7 Pt 2.72-2.89, 4 Pd 2.84-3.01
Pt8 0.2500 0.4805 0.3109  4 Pd 2.72-2.78, 7 Pt 2.73-2.85
Pt9 0.7500 0.7165 0.2640  2 Sb 2.69, 3 Pd 2.73-2.83, 5 Pt 2.77-2.85
Pd5 0.2500 0.5662 0.0880  4 Pd 2.75-2.84, 8 Pt 2.76-2.88
Pt10 0.2500 0.8786 0.5022  1 Sb 2.66, 6 Pt 2.80-2.84, 2 Pd 2.89
Pt11 0.7500 0.7904 0.6901  1 Sb 2.67, 7 Pt 2.73-2.84, 1 Pd 2.82
Pt12 0.2500 0.2104 0.9621  5 Pd 2.71-2.82, 5 Pt 2.75-2.84
Pd6 0.7500 0.4338 0.9120  4 Pd 2.75-2.84, 8 Pt 2.76-2.88

---

No. 4
The following is a DFT calculation (GGA-PBE) of a relaxed structure of Sb2PdPt6.

Properties
DOS(E_F): 7.13 states/eV/f.u.
energy relative to the lowest polymorph listed for this composition: 0.042 eV per atom
space group: Cm, No. 8

abc: 3.7531 6.7993 6.7994
angles: 74.38 90.10 90.10
Last column: nearest neighbours and their distance in Å.
Fractional positions:
Pt1 0.9992 0.0220 0.3486  1 Sb 2.59, 6 Pt 2.69-2.90, 2 Pd 2.75
Pt2 0.9992 0.3486 0.0220  1 Sb 2.59, 6 Pt 2.69-2.90, 2 Pd 2.75
Sb1 0.0011 0.6784 0.2527  6 Pt 2.59-2.87
Pt3 0.9998 0.6636 0.6637  2 Sb 2.77, 6 Pt 2.78-2.86
Pt4 0.5003 0.3471 0.3471  6 Pt 2.79-2.90, 4 Sb 2.87
Pd1 0.4983 0.0464 0.0464  6 Pt 2.75-2.79
Sb2 0.0011 0.2527 0.6784  6 Pt 2.59-2.87
Pt5 0.5005 0.9828 0.6582  2 Sb 2.65, 6 Pt 2.67-2.86, 1 Pd 2.79
Pt6 0.5005 0.6582 0.9828  2 Sb 2.65, 6 Pt 2.67-2.86, 1 Pd 2.79

---

No. 5
The following is a DFT calculation (GGA-PBE) of a relaxed structure of Sb2Pd5Pt5.

Properties
DOS(E_F): 9.73 states/eV/f.u.
energy relative to the lowest polymorph listed for this composition: 0.000 eV per atom
space group: C2/m, No. 12

abc: 4.0932 6.3126 8.9599
angles: 115.38 90.00 108.92
Last column: nearest neighbours and their distance in Å.
Fractional positions:
Sb1 0.0873 0.1745 0.7545  7 Pd 2.75-2.88, 5 Pt 2.83-2.85
Pt1 0.0000 0.0000 0.0000  2 Pt 2.81, 2 Sb 2.83, 8 Pd 2.85-2.86
Pt2 0.8352 0.6704 0.5032  5 Pt 2.80-2.87, 2 Sb 2.83-2.85, 5 Pd 2.83-2.85
Pd1 0.3332 0.6663 0.9979  3 Sb 2.75-2.85, 4 Pd 2.81-2.86, 5 Pt 2.85-2.87
Sb2 0.9127 0.8255 0.2455  7 Pd 2.75-2.88, 5 Pt 2.83-2.85
Pt3 0.1648 0.3296 0.4968  5 Pt 2.80-2.87, 2 Sb 2.83-2.85, 5 Pd 2.83-2.85
Pt4 0.7499 0.4998 0.7474  6 Pd 2.80-2.87, 4 Pt 2.80-2.86, 2 Sb 2.84
Pd2 0.6668 0.3337 0.0021  3 Sb 2.75-2.85, 4 Pd 2.81-2.86, 5 Pt 2.85-2.87
Pd3 0.5000 0.0000 0.5000  6 Pt 2.80-2.85, 2 Pd 2.83, 4 Sb 2.88
Pd4 0.5834 0.1668 0.2500  3 Pd 2.81-2.83, 7 Pt 2.83-2.86, 2 Sb 2.88
Pt5 0.2501 0.5002 0.2526  6 Pd 2.80-2.87, 4 Pt 2.80-2.86, 2 Sb 2.84
Pd5 0.4166 0.8332 0.7500  3 Pd 2.81-2.83, 7 Pt 2.83-2.86, 2 Sb 2.88

---

No. 6
The following is a DFT calculation (GGA-PBE) of a relaxed structure of SbPd5Pt2.

Properties
DOS(E_F): 9.34 states/eV/f.u.
energy relative to the lowest polymorph listed for this composition: 0.147 eV per atom
space group: Cmcm, No. 63

abc: 2.8317 9.6959 10.2792
angles: 90.00 90.00 98.40
Last column: nearest neighbours and their distance in Å.
Fractional positions:
Pt1 0.9052 0.8104 0.1274  1 Pt 2.52, 5 Pd 2.64-2.74
Pd1 0.9574 0.9148 0.6114  2 Pt 2.64-2.65, 1 Sb 2.66, 4 Pd 2.81-2.85
Pd2 0.9574 0.9148 0.8886  2 Pt 2.64-2.65, 1 Sb 2.66, 4 Pd 2.81-2.85
Pd3 0.2200 0.4401 0.7500  2 Sb 2.71, 2 Pt 2.71, 4 Pd 2.83-2.93
Pt2 0.0948 0.1896 0.8726  1 Pt 2.52, 5 Pd 2.64-2.74
Pd4 0.3134 0.6269 0.5242  2 Pt 2.74, 2 Sb 2.77, 5 Pd 2.83-2.93
Pd5 0.3134 0.6269 0.9758  2 Pt 2.74, 2 Sb 2.77, 5 Pd 2.83-2.93
Pd6 0.7800 0.5599 0.2500  2 Sb 2.71, 2 Pt 2.71, 4 Pd 2.83-2.93
Sb1 0.8402 0.6805 0.7500  8 Pd 2.66-2.77, 2 Sb 2.83
Pd7 0.6866 0.3731 0.4758  2 Pt 2.74, 2 Sb 2.77, 5 Pd 2.83-2.93
Sb2 0.1598 0.3195 0.2500  8 Pd 2.66-2.77, 2 Sb 2.83
Pt3 0.0948 0.1896 0.6274  1 Pt 2.52, 5 Pd 2.64-2.74
Pd8 0.0426 0.0852 0.1114  2 Pt 2.64-2.65, 1 Sb 2.66, 4 Pd 2.81-2.85
Pd9 0.6866 0.3731 0.0242  2 Pt 2.74, 2 Sb 2.77, 5 Pd 2.83-2.93
Pd10 0.0426 0.0852 0.3886  2 Pt 2.64-2.65, 1 Sb 2.66, 4 Pd 2.81-2.85
Pt4 0.9052 0.8104 0.3726  1 Pt 2.52, 5 Pd 2.64-2.74

---

No. 7
The following is a DFT calculation (GGA-PBE) of a relaxed structure of Sb2Pd3Pt.

Properties
DOS(E_F): 3.66 states/eV/f.u.
energy relative to the lowest polymorph listed for this composition: 0.016 eV per atom
space group: P-1, No. 2

abc: 3.9707 4.2177 6.8919
angles: 99.27 106.74 90.27
Last column: nearest neighbours and their distance in Å.
Fractional positions:
Pt1 0.0000 0.0000 0.0000  4 Sb 2.74, 8 Pd 2.89-3.03
Pd1 0.1688 0.5857 0.3328  5 Sb 2.65-2.93, 2 Pd 2.93-2.94
Pd2 0.8312 0.4143 0.6672  5 Sb 2.65-2.93, 2 Pd 2.93-2.94
Pd3 0.5000 0.5000 0.0000  4 Sb 2.83, 4 Pt 2.89-2.90, 4 Pd 2.93-2.94
Sb1 0.6456 0.0767 0.2906  7 Pd 2.65-2.93, 2 Pt 2.74
Sb2 0.3544 0.9233 0.7094  7 Pd 2.65-2.93, 2 Pt 2.74

---

No. 8
The following is a DFT calculation (GGA-PBE) of a relaxed structure of Sb2PdPt.

Properties
DOS(E_F): 1.82 states/eV/f.u.
energy relative to the lowest polymorph listed for this composition: 0.292 eV per atom
space group: R-3m, No. 166

abc: 3.2794 3.2794 9.4515
angles: 80.01 80.01 60.00
Last column: nearest neighbours and their distance in Å.
Fractional positions:
Sb1 0.0928 0.0928 0.7217  1 Pt 2.58, 3 Pd 2.79
Sb2 0.9072 0.9072 0.2783  1 Pt 2.58, 3 Pd 2.79
Pd1 0.5000 0.5000 0.5000  6 Sb 2.79
Pt1 0.0000 0.0000 0.0000  2 Sb 2.58

---

No. 9
The following is a DFT calculation (GGA-PBE) of a relaxed structure of SbPd6Pt8.

Properties
DOS(E_F): 20.03 states/eV/f.u.
final energy: -0.20392 hartree per atom
space group: R-3, No. 148

abc: 6.8872 6.8872 7.1924
angles: 61.39 61.39 60.00
Last column: nearest neighbours and their distance in Å.
Fractional positions:
Pt1 0.4040 0.2271 0.6759  5 Pt 2.66-2.81, 4 Pd 2.73-2.79
Pt2 0.5960 0.7729 0.3241  5 Pt 2.66-2.81, 4 Pd 2.73-2.79
Pt3 0.2271 0.6930 0.6759  5 Pt 2.66-2.81, 4 Pd 2.73-2.79
Pt4 0.1600 0.1600 0.5201  3 Pt 2.71, 3 Pd 2.83, 1 Sb 2.88
Pd1 0.5446 0.2455 0.1341  1 Sb 2.64, 5 Pt 2.73-2.83, 2 Pd 2.83
Pt5 0.3070 0.5960 0.3241  5 Pt 2.66-2.81, 4 Pd 2.73-2.79
Pd2 0.9243 0.4554 0.8659  1 Sb 2.64, 5 Pt 2.73-2.83, 2 Pd 2.83
Pt6 0.6930 0.4040 0.6759  5 Pt 2.66-2.81, 4 Pd 2.73-2.79
Pd3 0.4554 0.7545 0.8659  1 Sb 2.64, 5 Pt 2.73-2.83, 2 Pd 2.83
Pt7 0.8400 0.8400 0.4799  3 Pt 2.71, 3 Pd 2.83, 1 Sb 2.88
Sb1 0.0000 0.0000 0.0000  6 Pd 2.64, 2 Pt 2.88
Pd4 0.2455 0.0757 0.1341  1 Sb 2.64, 5 Pt 2.73-2.83, 2 Pd 2.83
Pd5 0.0757 0.5446 0.1341  1 Sb 2.64, 5 Pt 2.73-2.83, 2 Pd 2.83
Pd6 0.7545 0.9243 0.8659  1 Sb 2.64, 5 Pt 2.73-2.83, 2 Pd 2.83
Pt8 0.7729 0.3070 0.3241  5 Pt 2.66-2.81, 4 Pd 2.73-2.79

---

No. 10
The following is a DFT calculation (GGA-PBE) of a relaxed structure of SbPd2Pt2.

Properties
DOS(E_F): 2.96 states/eV/f.u.
energy relative to the lowest polymorph listed for this composition: 0.110 eV per atom
space group: P6_3/mmc, No. 194

abc: 4.4323 4.4323 10.2604
angles: 90.00 90.00 120.00
Last column: nearest neighbours and their distance in Å.
Fractional positions:
Pd1 0.0000 0.0000 0.5000  2 Sb 2.57, 6 Pt 2.76
Pd2 0.3333 0.6667 0.2500  3 Sb 2.56
Pd3 0.0000 0.0000 0.0000  2 Sb 2.57, 6 Pt 2.76
Pd4 0.6667 0.3333 0.7500  3 Sb 2.56
Sb1 0.0000 0.0000 0.7500  5 Pd 2.56-2.57
Sb2 0.0000 0.0000 0.2500  5 Pd 2.56-2.57
Pt1 0.3333 0.6667 0.6002  6 Pd 2.76-2.99, 3 Sb 2.99, 1 Pt 3.07
Pt2 0.3333 0.6667 0.8998  6 Pd 2.76-2.99, 3 Sb 2.99, 1 Pt 3.07
Pt3 0.6667 0.3333 0.1002  6 Pd 2.76-2.99, 3 Sb 2.99, 1 Pt 3.07
Pt4 0.6667 0.3333 0.3998  6 Pd 2.76-2.99, 3 Sb 2.99, 1 Pt 3.07

---

No. 11
The following is a DFT calculation (GGA-PBE) of a relaxed structure of SbPd2Pt8.

Properties
DOS(E_F): 15.77 states/eV/f.u.
energy relative to the lowest polymorph listed for this composition: 0.000 eV per atom
space group: C2/m, No. 12

abc: 4.0216 6.3014 7.4792
angles: 104.55 105.60 90.00
Last column: nearest neighbours and their distance in Å.
Fractional positions:
Pt1 0.6826 0.9105 0.3651  8 Pt 2.81-2.87, 1 Sb 2.83, 3 Pd 2.83
Pt2 0.9530 0.2771 0.9061  1 Pd 2.77, 9 Pt 2.78-2.87, 2 Sb 2.86
Pt3 0.5912 0.4485 0.1823  1 Sb 2.79, 8 Pt 2.81-2.87, 3 Pd 2.82-2.83
Pt4 0.1370 0.1812 0.2740  3 Pd 2.80-2.85, 7 Pt 2.81-2.87, 2 Sb 2.84
Pt5 0.4088 0.5515 0.8177  1 Sb 2.79, 8 Pt 2.81-2.87, 3 Pd 2.82-2.83
Pt6 0.8630 0.8188 0.7260  3 Pd 2.80-2.85, 7 Pt 2.81-2.87, 2 Sb 2.84
Pt7 0.3174 0.0895 0.6349  8 Pt 2.81-2.87, 1 Sb 2.83, 3 Pd 2.83
Sb1 0.5000 0.0000 0.0000  12 Pt 2.79-2.86
Pd1 0.7743 0.3662 0.5486  10 Pt 2.77-2.85, 2 Pd 2.83
Pt8 0.0470 0.7229 0.0939  1 Pd 2.77, 9 Pt 2.78-2.87, 2 Sb 2.86
Pd2 0.2257 0.6338 0.4514  10 Pt 2.77-2.85, 2 Pd 2.83